No. 1
Entry from Alexandria: a crystal of Y5Mg5Al12Fe4Si6 relaxed with PBEsol (SCAN).

## Properties
- Final energy: -401.0 eV/f.u.
- Formation energy from raw total energies: -0.35 eV per atom
- DOS(E_F): 0.32 states/eV per atom
- Space group: No. 123

The structure in POSCAR format:
```
Y5Mg5Al12Fe4Si6
1.0
11.786 0.000 0.000
0.000 11.786 0.000
0.000 0.000 3.948
Y Mg Al Fe Si
5 5 12 4 6
Direct
0.000 0.000 0.000
0.253 0.500 0.000
0.500 0.253 0.000
0.500 0.747 0.000
0.747 0.500 0.000
0.201 0.201 0.000
0.201 0.799 0.000
0.500 0.500 0.500
0.799 0.201 0.000
0.799 0.799 0.000
0.113 0.373 0.500
0.113 0.627 0.500
0.332 0.332 0.500
0.332 0.668 0.500
0.373 0.113 0.500
0.373 0.887 0.500
0.627 0.113 0.500
0.627 0.887 0.500
0.668 0.332 0.500
0.668 0.668 0.500
0.887 0.373 0.500
0.887 0.627 0.500
0.000 0.305 0.000
0.000 0.695 0.000
0.305 0.000 0.000
0.695 0.000 0.000
0.000 0.189 0.500
0.000 0.500 0.000
0.000 0.811 0.500
0.189 0.000 0.500
0.500 0.000 0.000
0.811 0.000 0.500
```

=====

No. 2
Entry from Alexandria: a crystal of MnAlFe2 relaxed with PBEsol (SCAN).

## Properties
- Final energy: -62.9 eV/f.u.
- ΔH_f (0 K): -0.17 eV per atom
- DOS(E_F): 0.40 states/eV per atom
- Space group: No. 99

The structure in POSCAR format:
```
MnAlFe2
1.0
2.802 0.000 0.000
0.000 2.802 0.000
0.000 0.000 5.691
Mn Al Fe
1 1 2
Direct
0.000 0.000 0.000
0.500 0.500 0.274
0.000 0.000 0.530
0.500 0.500 0.767
```

=====

No. 3
Entry from Alexandria: a crystal of MnAlFe2 relaxed with PBEsol (SCAN).

## Properties
- Final energy: -62.7 eV/f.u.
- ΔH_f (0 K): -0.12 eV per atom
- DOS(E_F): 0.69 states/eV per atom
- Space group: No. 12

The structure in POSCAR format:
```
MnAlFe2
1.0
2.458 -3.919 0.000
2.458 3.919 0.000
-0.716 0.000 2.375
Mn Al Fe
1 1 2
Direct
0.000 0.000 0.000
0.500 0.500 0.000
0.000 0.500 0.500
0.500 0.000 0.500
```

=====

No. 4
Entry from Alexandria: a crystal of MnAlFe6 relaxed with PBEsol (SCAN).

## Properties
- Final energy: -135.8 eV/f.u.
- ΔH_f (0 K): -0.13 eV per atom
- DOS(E_F): 0.51 states/eV per atom
- Space group: No. 65

The structure in POSCAR format:
```
MnAlFe6
1.0
3.511 -4.975 0.000
3.511 4.975 0.000
0.000 0.000 9.963
Mn Al Fe
4 4 24
Direct
0.000 0.000 0.249
0.000 0.000 0.751
0.248 0.752 0.000
0.752 0.248 0.000
0.251 0.749 0.500
0.500 0.500 0.247
0.500 0.500 0.753
0.749 0.251 0.500
0.000 0.000 0.000
0.000 0.000 0.500
0.120 0.373 0.122
0.120 0.373 0.878
0.123 0.370 0.372
0.123 0.370 0.628
0.248 0.752 0.245
0.248 0.752 0.755
0.370 0.123 0.372
0.370 0.123 0.628
0.373 0.120 0.122
0.373 0.120 0.878
0.500 0.500 0.000
0.500 0.500 0.500
0.627 0.880 0.122
0.627 0.880 0.878
0.630 0.877 0.372
0.630 0.877 0.628
0.752 0.248 0.245
0.752 0.248 0.755
0.877 0.630 0.372
0.877 0.630 0.628
0.880 0.627 0.122
0.880 0.627 0.878
```

=====

No. 5
Entry from Alexandria: a crystal of MnAlFe2 relaxed with PBEsol (SCAN).

## Properties
- Final energy: -63.2 eV/f.u.
- ΔH_f (0 K): -0.22 eV per atom
- DOS(E_F): 0.34 states/eV per atom
- Space group: No. 216

The structure in POSCAR format:
```
MnAlFe2
1.0
0.000 2.812 2.812
2.812 0.000 2.812
2.812 2.812 0.000
Mn Al Fe
1 1 2
Direct
0.000 0.000 0.000
0.750 0.750 0.750
0.250 0.250 0.250
0.500 0.500 0.500
```

=====

No. 6
Entry from Alexandria: a crystal of MnAlFe2 relaxed with PBEsol (SCAN).

## Properties
- Final energy: -62.7 eV/f.u.
- ΔH_f (0 K): -0.12 eV per atom
- DOS(E_F): 0.74 states/eV per atom
- Space group: No. 44

The structure in POSCAR format:
```
MnAlFe2
1.0
-1.408 1.964 3.975
1.408 -1.964 3.975
1.408 1.964 -3.975
Mn Al Fe
1 1 2
Direct
0.000 0.000 0.000
0.260 0.760 0.500
0.516 0.516 0.000
0.761 0.261 0.500
```

=====

No. 7
Entry from Alexandria: a crystal of MnAl3Fe relaxed with PBEsol (SCAN).

## Properties
- Final energy: -56.8 eV/f.u.
- ΔH_f (0 K): 0.57 eV per atom
- DOS(E_F): 1.27 states/eV per atom
- Space group: No. 221

The structure in POSCAR format:
```
MnAl3Fe
1.0
4.407 0.000 0.000
0.000 4.407 0.000
0.000 0.000 4.407
Mn Al Fe
1 3 1
Direct
0.000 0.000 0.000
0.000 0.000 0.500
0.000 0.500 0.000
0.500 0.000 0.000
0.500 0.500 0.500
```

=====

No. 8
Entry from Alexandria: a crystal of MnAlFeMo relaxed with PBEsol (SCAN).

## Properties
- Final energy: -80.0 eV/f.u.
- ΔH_f (0 K): -0.23 eV per atom
- DOS(E_F): 0.24 states/eV per atom
- Space group: No. 216

The structure in POSCAR format:
```
MnAlFeMo
1.0
0.000 2.892 2.892
2.892 0.000 2.892
2.892 2.892 0.000
Mn Al Fe Mo
1 1 1 1
Direct
0.000 0.000 0.000
0.250 0.250 0.250
0.500 0.500 0.500
0.750 0.750 0.750
```

=====

No. 9
Entry from Alexandria: a crystal of Mn2AlFeTc relaxed with PBEsol (SCAN).

## Properties
- Final energy: -91.3 eV/f.u.
- ΔH_f (0 K): 1.22 eV per atom
- DOS(E_F): 0.71 states/eV per atom
- Space group: No. 123

The structure in POSCAR format:
```
Mn2AlFeTc
1.0
4.149 0.000 0.000
0.000 4.149 0.000
0.000 0.000 4.127
Mn Al Fe Tc
2 1 1 1
Direct
0.000 0.500 0.000
0.500 0.000 0.000
0.000 0.000 0.000
0.000 0.000 0.500
0.500 0.500 0.500
```

=====

No. 10
Entry from Alexandria: a crystal of AlFeMo relaxed with PBEsol (SCAN).

## Properties
- Final energy: -61.2 eV/f.u.
- ΔH_f (0 K): -0.15 eV per atom
- DOS(E_F): 0.57 states/eV per atom
- Space group: No. 107

The structure in POSCAR format:
```
AlFeMo
1.0
-1.416 1.416 4.798
1.416 -1.416 4.798
1.416 1.416 -4.798
Al Fe Mo
1 1 1
Direct
0.000 0.000 0.000
0.650 0.650 0.000
0.308 0.308 0.000
```

=====

No. 11
Entry from Alexandria: a crystal of AlFe4Mo relaxed with PBEsol (SCAN).

## Properties
- Final energy: -115.5 eV/f.u.
- ΔH_f (0 K): -0.07 eV per atom
- DOS(E_F): 0.53 states/eV per atom
- Space group: No. 216

The structure in POSCAR format:
```
AlFe4Mo
1.0
0.000 3.283 3.283
3.283 0.000 3.283
3.283 3.283 0.000
Al Fe Mo
1 4 1
Direct
0.000 0.000 0.000
0.375 0.375 0.375
0.375 0.375 0.876
0.375 0.876 0.375
0.876 0.375 0.375
0.750 0.750 0.750
```

=====

No. 12
Entry from Alexandria: a crystal of AlFe6Mo relaxed with PBEsol (SCAN).

## Properties
- Final energy: -151.3 eV/f.u.
- ΔH_f (0 K): 0.02 eV per atom
- DOS(E_F): 0.60 states/eV per atom
- Space group: No. 65

The structure in POSCAR format:
```
AlFe6Mo
1.0
3.561 -5.053 0.000
3.561 5.053 0.000
0.000 0.000 10.111
Al Fe Mo
4 24 4
Direct
0.000 0.000 0.245
0.000 0.000 0.755
0.253 0.747 0.500
0.747 0.253 0.500
0.000 0.000 0.000
0.000 0.000 0.500
0.121 0.372 0.375
0.121 0.372 0.625
0.126 0.375 0.124
0.126 0.375 0.876
0.250 0.750 0.250
0.250 0.750 0.750
0.372 0.121 0.375
0.372 0.121 0.625
0.375 0.126 0.124
0.375 0.126 0.876
0.500 0.500 0.000
0.500 0.500 0.500
0.625 0.874 0.124
0.625 0.874 0.876
0.628 0.879 0.375
0.628 0.879 0.625
0.750 0.250 0.250
0.750 0.250 0.750
0.874 0.625 0.124
0.874 0.625 0.876
0.879 0.628 0.375
0.879 0.628 0.625
0.254 0.746 0.000
0.500 0.500 0.244
0.500 0.500 0.756
0.746 0.254 0.000
```